Record 1
GGA-PBE Gd2DyFe, optimized geometry; crystal system = tetragonal; energy of formation = 0.09 eV/atom
1.0
3.4607 0.0000 0.0000
0.0000 3.4607 0.0000
0.0000 0.0000 8.7589
Gd Fe Dy
2 1 1
Cartesian
0.0000 0.0000 7.1147
0.0000 0.0000 1.6441
1.7303 1.7303 0.0000
1.7303 1.7303 4.3794

Record 2
GGA-PBE GaTcSe2, optimized geometry; crystal system = tetragonal; raw formation energy = 0.08 eV per formula unit
1.0
-2.0362 -2.2650 -5.2335
-4.7928 -2.3315 2.8738
-6.1939 2.2969 -2.0872
Ga Tc Se
2 2 4
Cartesian
-3.4145 -2.2982 -1.1798
-7.2006 -1.1664 -0.1966
0.0000 0.0000 0.0000
-5.8223 -1.1331 -4.2503
-3.5002 -1.2219 -3.6393
-4.7184 -1.0770 0.8259
-7.0178 0.0907 -2.5633
-10.8092 -2.3909 -3.5171

Record 3
GGA-PBE LaSm2ScTe4, optimized geometry; crystal system = monoclinic; raw formation energy = -10.70 eV per formula unit
1.0
-1.2999 1.7355 3.7992
-2.6608 -6.8696 2.2278
7.3187 0.6665 2.1997
La Sm Sc Te
1 2 1 4
Cartesian
-1.9803 -2.5670 3.0135
3.0094 1.2010 2.9994
2.3290 -3.1016 2.2137
0.0000 0.0000 0.0000
0.4749 -0.5717 2.9420
2.8831 -3.8959 5.2846
4.8691 -1.1249 2.1799
-0.2111 -5.0782 2.2476

> Which formula does entry 1 have?

Gd2DyFe